[1]
## ZrScRh2 (GGA-PBE)

Data for crystalline ZrScRh2 at its relaxed geometry.

a = 4.497 Å, b = 3.230 Å, c = 9.912 Å
α = 90.00°, β = 90.00°, γ = 90.00°
Space group Amm2 (No. 38)
Symmetry-distinct sites (fractional):
1 Zr 0.000 0.000 0.000 x2
2 Sc 0.500 0.000 0.719 x2
3 Rh 0.000 0.000 0.266 x2
4 Rh 0.500 0.000 0.452 x2

Summary:
Magnetization ... 0.000 μB per cell
ρ ... 7.89 g/cm³
Uncorrected energy ... -32.85 eV/f.u.

=====

[2]
## CeErTlSn (GGA-PBE)

Data for crystalline CeErTlSn at its relaxed geometry.

a = 7.635 Å, b = 7.635 Å, c = 7.635 Å
α = 90.00°, β = 90.00°, γ = 90.00°
Space group F-43m (No. 216)
Symmetry-distinct sites (fractional):
1 Ce 0.000 0.000 0.000 x4
2 Er 0.000 0.000 0.500 x4
3 Tl 0.250 0.250 0.250 x4
4 Sn 0.250 0.250 0.750 x4

Summary:
Magnetization ... 4.164 μB per cell
Relative energy among the computed polymorphs ... 10 meV per atom
ρ ... 9.41 g/cm³